Version one
## Pr2Tm2Tl (GGA-PBE)

Data for crystalline Pr2Tm2Tl at its relaxed geometry.

Space group: P6_3/mmc
Calculated volume (Å³/atom): 31.8
Density of states at the Fermi level (states/eV per atom): 1.413

a b c (Å): 5.4829 5.4829 12.2075
angles (deg): 90.00 90.00 120.00
Closest atoms and distances in Å follow each position.
Fractional positions:
1 Pr 0.3333 0.6667 0.0872  6 Tm 3.34-3.74, 3 Tl 3.74
2 Pr 0.3333 0.6667 0.4128  6 Tm 3.34-3.74, 3 Tl 3.74
3 Pr 0.6667 0.3333 0.5872  6 Tm 3.34-3.74, 3 Tl 3.74
4 Pr 0.6667 0.3333 0.9128  6 Tm 3.34-3.74, 3 Tl 3.74
5 Tm 0.0000 0.0000 0.0000  2 Tl 3.05, 6 Pr 3.34
6 Tm 0.0000 0.0000 0.5000  2 Tl 3.05, 6 Pr 3.34
7 Tm 0.3333 0.6667 0.7500  3 Tl 3.17
8 Tm 0.6667 0.3333 0.2500  3 Tl 3.17
9 Tl 0.0000 0.0000 0.2500  5 Tm 3.05-3.17
10 Tl 0.0000 0.0000 0.7500  5 Tm 3.05-3.17

Version two
## Pr2Tm2Tl (GGA-PBE)

Data for crystalline Pr2Tm2Tl at its relaxed geometry.

Space group: C2/m
Calculated volume (Å³/atom): 31.3
Density of states at the Fermi level (states/eV per atom): 0.988

a b c (Å): 6.7078 6.7078 9.6315
angles (deg): 104.02 104.02 48.49
Closest atoms and distances in Å follow each position.
Fractional positions:
1 Pr 0.0221 0.0221 0.3386  4 Tm 3.23-3.55, 1 Tl 3.28, 2 Pr 3.29-3.62
2 Pr 0.1618 0.1618 0.0516  3 Tl 3.47-3.62, 6 Tm 3.57-3.89, 5 Pr 3.62-3.83
3 Pr 0.8382 0.8382 0.9484  3 Tl 3.47-3.62, 6 Tm 3.57-3.89, 5 Pr 3.62-3.83
4 Pr 0.9779 0.9779 0.6614  4 Tm 3.23-3.55, 1 Tl 3.28, 2 Pr 3.29-3.62
5 Tm 0.3532 0.3532 0.4445  3 Tl 3.24-3.30, 2 Tm 3.46-3.51, 2 Pr 3.55
6 Tm 0.4788 0.4788 0.1569  1 Tl 3.15, 2 Tm 3.20-3.51, 2 Pr 3.23
7 Tm 0.5212 0.5212 0.8431  1 Tl 3.15, 2 Tm 3.20-3.51, 2 Pr 3.23
8 Tm 0.6468 0.6468 0.5555  3 Tl 3.24-3.30, 2 Tm 3.46-3.51, 2 Pr 3.55
9 Tl 0.2554 0.2554 0.7257  4 Tm 3.15-3.30, 3 Pr 3.28-3.47
10 Tl 0.7446 0.7446 0.2743  4 Tm 3.15-3.30, 3 Pr 3.28-3.47

Quick one: least stable of them? version one

Version one
## PrTm3Tl (GGA-PBE)

Data for crystalline PrTm3Tl at its relaxed geometry.

Space group: P6_3/mmc
Calculated volume (Å³/atom): 33.3
Density of states at the Fermi level (states/eV per atom): 1.532

a b c (Å): 7.9386 7.9386 6.1019
angles (deg): 90.00 90.00 120.00
Closest atoms and distances in Å follow each position.
Fractional positions:
1 Pr 0.3333 0.6667 0.2500  12 Tm 3.61-3.99
2 Pr 0.6667 0.3333 0.7500  12 Tm 3.61-3.99
3 Tm 0.1936 0.3873 0.7500  2 Tl 3.07, 2 Tm 3.33
4 Tm 0.1936 0.8064 0.7500  2 Tl 3.07, 2 Tm 3.33
5 Tm 0.3873 0.1936 0.2500  2 Tl 3.07, 2 Tm 3.33
6 Tm 0.6127 0.8064 0.7500  2 Tl 3.07, 2 Tm 3.33
7 Tm 0.8064 0.1936 0.2500  2 Tl 3.07, 2 Tm 3.33
8 Tm 0.8064 0.6127 0.2500  2 Tl 3.07, 2 Tm 3.33
9 Tl 0.0000 0.0000 0.0000  2 Tl 3.05, 6 Tm 3.07
10 Tl 0.0000 0.0000 0.5000  2 Tl 3.05, 6 Tm 3.07

Version two
## PrTm3Tl (GGA-PBE)

Data for crystalline PrTm3Tl at its relaxed geometry.

Space group: Cmcm
Calculated volume (Å³/atom): 29.6
Density of states at the Fermi level (states/eV per atom): 1.313

a b c (Å): 12.9168 12.9168 4.8058
angles (deg): 90.00 90.00 158.32
Closest atoms and distances in Å follow each position.
Fractional positions:
1 Pr 0.1469 0.8531 0.7500  4 Tl 3.42, 8 Tm 3.45-3.57
2 Pr 0.8531 0.1469 0.2500  4 Tl 3.42, 8 Tm 3.45-3.57
3 Tm 0.0453 0.9547 0.2500  8 Tm 3.33-3.43, 2 Pr 3.52, 2 Tl 3.68
4 Tm 0.2508 0.7492 0.2500  4 Tl 3.40-3.45, 4 Tm 3.42, 4 Pr 3.56-3.57
5 Tm 0.4497 0.5503 0.2500  8 Tm 3.42-3.51, 2 Pr 3.45, 2 Tl 3.57
6 Tm 0.5503 0.4497 0.7500  8 Tm 3.42-3.51, 2 Pr 3.45, 2 Tl 3.57
7 Tm 0.7492 0.2508 0.7500  4 Tl 3.40-3.45, 4 Tm 3.42, 4 Pr 3.56-3.57
8 Tm 0.9547 0.0453 0.7500  8 Tm 3.33-3.43, 2 Pr 3.52, 2 Tl 3.68
9 Tl 0.3459 0.6541 0.7500  8 Tm 3.40-3.68, 4 Pr 3.42
10 Tl 0.6541 0.3459 0.2500  8 Tm 3.40-3.68, 4 Pr 3.42

Quick one: least stable of them? version one

Version one
## PrY6Tl (GGA-PBE)

Data for crystalline PrY6Tl at its relaxed geometry.

Space group: R-3
Calculated volume (Å³/atom): 32.1
Density of states at the Fermi level (states/eV per atom): 1.390

a b c (Å): 6.3776 6.3776 6.3776
angles (deg): 94.51 94.51 94.51
Closest atoms and distances in Å follow each position.
Fractional positions:
1 Pr 0.0000 0.0000 0.0000  12 Y 3.52-3.67
2 Y 0.0473 0.2600 0.5374  1 Tl 3.19, 2 Y 3.23-3.31, 1 Pr 3.52
3 Y 0.2600 0.5374 0.0473  1 Tl 3.19, 2 Y 3.23-3.31, 1 Pr 3.52
4 Y 0.4626 0.9527 0.7400  1 Tl 3.19, 2 Y 3.23-3.31, 1 Pr 3.52
5 Y 0.5374 0.0473 0.2600  1 Tl 3.19, 2 Y 3.23-3.31, 1 Pr 3.52
6 Y 0.7400 0.4626 0.9527  1 Tl 3.19, 2 Y 3.23-3.31, 1 Pr 3.52
7 Y 0.9527 0.7400 0.4626  1 Tl 3.19, 2 Y 3.23-3.31, 1 Pr 3.52
8 Tl 0.5000 0.5000 0.5000  6 Y 3.19

Version two
## PrY6Tl (GGA-PBE)

Data for crystalline PrY6Tl at its relaxed geometry.

Space group: Cmmm
Calculated volume (Å³/atom): 31.5
Density of states at the Fermi level (states/eV per atom): 1.481

a b c (Å): 6.9322 6.9322 5.3894
angles (deg): 90.00 90.00 103.42
Closest atoms and distances in Å follow each position.
Fractional positions:
1 Pr 0.0000 0.0000 0.0000  12 Y 3.47-3.65
2 Y 0.0000 0.5000 0.0000  8 Y 3.47-3.84, 2 Tl 3.47, 2 Pr 3.47
3 Y 0.2159 0.7841 0.5000  8 Y 3.40-3.59, 2 Pr 3.57
4 Y 0.2868 0.2868 0.5000  2 Tl 3.26, 4 Y 3.40-3.59
5 Y 0.5000 0.0000 0.0000  8 Y 3.47-3.84, 2 Tl 3.47, 2 Pr 3.47
6 Y 0.7132 0.7132 0.5000  2 Tl 3.26, 4 Y 3.40-3.59
7 Y 0.7841 0.2159 0.5000  8 Y 3.40-3.59, 2 Pr 3.57
8 Tl 0.5000 0.5000 0.0000  8 Y 3.26-3.47

Quick one: least stable of them? version one

Version one
## PrY3Tl (GGA-PBE)

Data for crystalline PrY3Tl at its relaxed geometry.

Space group: Cmcm
Calculated volume (Å³/atom): 30.8
Density of states at the Fermi level (states/eV per atom): 1.434

a b c (Å): 12.9796 12.9796 4.8973
angles (deg): 90.00 90.00 158.11
Closest atoms and distances in Å follow each position.
Fractional positions:
1 Pr 0.1485 0.8515 0.7500  4 Tl 3.48, 8 Y 3.48-3.57
2 Pr 0.8515 0.1485 0.2500  4 Tl 3.48, 8 Y 3.48-3.57
3 Y 0.0478 0.9522 0.2500  8 Y 3.45-3.55, 2 Pr 3.55, 2 Tl 3.66
4 Y 0.2506 0.7494 0.2500  4 Tl 3.45-3.49, 4 Y 3.47, 4 Pr 3.56-3.57
5 Y 0.4477 0.5523 0.2500  8 Y 3.48-3.62, 2 Pr 3.48, 2 Tl 3.56
6 Y 0.5523 0.4477 0.7500  8 Y 3.48-3.62, 2 Pr 3.48, 2 Tl 3.56
7 Y 0.7494 0.2506 0.7500  4 Tl 3.45-3.49, 4 Y 3.47, 4 Pr 3.56-3.57
8 Y 0.9522 0.0478 0.7500  8 Y 3.45-3.55, 2 Pr 3.55, 2 Tl 3.66
9 Tl 0.3461 0.6539 0.7500  8 Y 3.45-3.66, 4 Pr 3.48
10 Tl 0.6539 0.3461 0.2500  8 Y 3.45-3.66, 4 Pr 3.48

Version two
## PrY3Tl (GGA-PBE)

Data for crystalline PrY3Tl at its relaxed geometry.

Space group: C2/c
Calculated volume (Å³/atom): 31.6
Density of states at the Fermi level (states/eV per atom): 1.329

a b c (Å): 9.9784 9.9784 6.5686
angles (deg): 100.39 100.39 84.88
Closest atoms and distances in Å follow each position.
Fractional positions:
1 Pr 0.0428 0.1684 0.4832  7 Y 3.41-3.76, 4 Pr 3.60-3.80
2 Pr 0.1684 0.0428 0.9832  7 Y 3.41-3.76, 4 Pr 3.60-3.80
3 Pr 0.8316 0.9572 0.0168  7 Y 3.41-3.76, 4 Pr 3.60-3.80
4 Pr 0.9572 0.8316 0.5168  7 Y 3.41-3.76, 4 Pr 3.60-3.80
5 Y 0.0970 0.7069 0.0062  2 Tl 3.23-3.44, 3 Y 3.35-3.53, 2 Pr 3.48-3.52
6 Y 0.1268 0.5039 0.3675  2 Tl 3.26-3.28, 5 Y 3.33-3.62, 1 Pr 3.60
7 Y 0.2377 0.3779 0.8690  2 Tl 3.30, 1 Pr 3.41, 4 Y 3.48-3.69
8 Y 0.2931 0.9030 0.4938  2 Tl 3.23-3.44, 3 Y 3.35-3.53, 2 Pr 3.48-3.52
9 Y 0.3779 0.2377 0.3690  2 Tl 3.30, 1 Pr 3.41, 4 Y 3.48-3.69
10 Y 0.4961 0.8732 0.1325  2 Tl 3.26-3.28, 5 Y 3.33-3.62, 1 Pr 3.60
11 Y 0.5039 0.1268 0.8675  2 Tl 3.26-3.28, 5 Y 3.33-3.62, 1 Pr 3.60
12 Y 0.6221 0.7623 0.6310  2 Tl 3.30, 1 Pr 3.41, 4 Y 3.48-3.69
13 Y 0.7069 0.0970 0.5062  2 Tl 3.23-3.44, 3 Y 3.35-3.53, 2 Pr 3.48-3.52
14 Y 0.7623 0.6221 0.1310  2 Tl 3.30, 1 Pr 3.41, 4 Y 3.48-3.69
15 Y 0.8732 0.4961 0.6325  2 Tl 3.26-3.28, 5 Y 3.33-3.62, 1 Pr 3.60
16 Y 0.9030 0.2931 0.9938  2 Tl 3.23-3.44, 3 Y 3.35-3.53, 2 Pr 3.48-3.52
17 Tl 0.3498 0.6502 0.7500  6 Y 3.23-3.30, 3 Tl 3.25-3.38
18 Tl 0.4092 0.5908 0.2500  3 Tl 3.25-3.38, 6 Y 3.28-3.44
19 Tl 0.5908 0.4092 0.7500  3 Tl 3.25-3.38, 6 Y 3.28-3.44
20 Tl 0.6502 0.3498 0.2500  6 Y 3.23-3.30, 3 Tl 3.25-3.38

Quick one: least stable of them? version two

Version one
## Pr2YTl3 (GGA-PBE)

Data for crystalline Pr2YTl3 at its relaxed geometry.

Space group: Cmcm
Calculated volume (Å³/atom): 31.6
Density of states at the Fermi level (states/eV per atom): 0.817

a b c (Å): 14.7588 14.7588 6.8100
angles (deg): 90.00 90.00 165.18
Closest atoms and distances in Å follow each position.
Fractional positions:
1 Pr 0.0061 0.9939 0.7500  8 Tl 3.35-3.51, 2 Pr 3.42
2 Pr 0.1549 0.8451 0.2500  6 Tl 3.30-3.36
3 Pr 0.8451 0.1549 0.7500  6 Tl 3.30-3.36
4 Pr 0.9939 0.0061 0.2500  8 Tl 3.35-3.51, 2 Pr 3.42
5 Y 0.3328 0.6672 0.2500  4 Tl 3.15-3.16
6 Y 0.6672 0.3328 0.7500  4 Tl 3.15-3.16
7 Tl 0.2529 0.7471 0.7500  2 Y 3.15, 2 Pr 3.30
8 Tl 0.4220 0.5780 0.5119  1 Y 3.16, 1 Tl 3.24, 6 Pr 3.35-3.51
9 Tl 0.4220 0.5780 0.9881  1 Y 3.16, 1 Tl 3.24, 6 Pr 3.35-3.51
10 Tl 0.5780 0.4220 0.0119  1 Y 3.16, 1 Tl 3.24, 6 Pr 3.35-3.51
11 Tl 0.5780 0.4220 0.4881  1 Y 3.16, 1 Tl 3.24, 6 Pr 3.35-3.51
12 Tl 0.7471 0.2529 0.2500  2 Y 3.15, 2 Pr 3.30

Version two
## Pr2YTl3 (GGA-PBE)

Data for crystalline Pr2YTl3 at its relaxed geometry.

Space group: P4/mmm
Calculated volume (Å³/atom): 29.4
Density of states at the Fermi level (states/eV per atom): 0.807

a b c (Å): 3.8492 3.8492 11.9168
angles (deg): 90.00 90.00 90.00
Closest atoms and distances in Å follow each position.
Fractional positions:
1 Pr 0.0000 0.0000 0.1721  8 Tl 3.41
2 Pr 0.0000 0.0000 0.8279  8 Tl 3.41
3 Y 0.0000 0.0000 0.5000  8 Tl 3.29
4 Tl 0.5000 0.5000 0.0000  8 Pr 3.41
5 Tl 0.5000 0.5000 0.3451  4 Y 3.29, 4 Pr 3.41
6 Tl 0.5000 0.5000 0.6549  4 Y 3.29, 4 Pr 3.41

Quick one: least stable of them? version one

Version one
## Pr2Y2Tl3 (GGA-PBE)

Data for crystalline Pr2Y2Tl3 at its relaxed geometry.

Space group: Cmmm
Calculated volume (Å³/atom): 30.4
Density of states at the Fermi level (states/eV per atom): 0.950

a b c (Å): 16.4745 16.4745 3.6015
angles (deg): 90.00 90.00 167.45
Closest atoms and distances in Å follow each position.
Fractional positions:
1 Pr 0.0698 0.9302 0.0000  8 Tl 3.42-3.43, 4 Pr 3.60
2 Pr 0.9302 0.0698 0.0000  8 Tl 3.42-3.43, 4 Pr 3.60
3 Y 0.2024 0.7976 0.0000  4 Tl 3.27, 6 Y 3.60
4 Y 0.7976 0.2024 0.0000  4 Tl 3.27, 6 Y 3.60
5 Tl 0.3602 0.6398 0.5000  4 Y 3.27, 4 Pr 3.43, 4 Tl 3.60
6 Tl 0.5000 0.5000 0.5000  8 Pr 3.42, 4 Tl 3.60
7 Tl 0.6398 0.3602 0.5000  4 Y 3.27, 4 Pr 3.43, 4 Tl 3.60

Version two
## Pr2Y2Tl3 (GGA-PBE)

Data for crystalline Pr2Y2Tl3 at its relaxed geometry.

Space group: P-1
Calculated volume (Å³/atom): 31.2
Density of states at the Fermi level (states/eV per atom): 1.197

a b c (Å): 3.8389 6.9708 9.1049
angles (deg): 69.50 89.93 74.06
Closest atoms and distances in Å follow each position.
Fractional positions:
1 Pr 0.1111 0.2753 0.4439  3 Tl 3.29-3.34, 1 Pr 3.52
2 Pr 0.8889 0.7247 0.5561  3 Tl 3.29-3.34, 1 Pr 3.52
3 Y 0.3755 0.7496 0.1761  5 Tl 3.20-3.32
4 Y 0.6245 0.2504 0.8239  5 Tl 3.20-3.32
5 Tl 0.0000 0.5000 0.0000  4 Tl 3.22-3.23, 4 Y 3.32
6 Tl 0.3076 0.8858 0.7915  3 Y 3.20-3.28, 2 Tl 3.22-3.23, 3 Pr 3.29-3.34
7 Tl 0.6924 0.1142 0.2085  3 Y 3.20-3.28, 2 Tl 3.22-3.23, 3 Pr 3.29-3.34

Quick one: least stable of them? version two